[1]
A plane-wave DFT calculation with GGA-PBE was carried out for an optimized crystal structure of Tb2DyI.

Lattice parameters (Å, degrees): 3.7653 3.7653 10.6680 79.84 79.84 60.00
Atoms (fractional coordinates):
Tb  0.0793  0.0793  0.7622
Tb  0.2544  0.2544  0.2368
Dy  0.4997  0.4997  0.5008
I  0.6666  0.6666  0.0001

Output
Distance to the lowest polymorph of the same formula: 0.000 eV/atom
Formation energy from raw total energies: -347.5 meV per atom
Space-group type: R3m
Electronic total energy: -16.803 eV per cell

***

[2]
A plane-wave DFT calculation with GGA-PBE was carried out for an optimized crystal structure of TbDyI.

Lattice parameters (Å, degrees): 3.8111 12.6692 9.1749 84.08 90.00 98.65
Atoms (fractional coordinates):
Dy  0.0973  0.1945  0.5619
Dy  0.1499  0.2998  0.1876
Dy  0.8501  0.7002  0.8124
Dy  0.9027  0.8055  0.4381
Tb  0.7081  0.4161  0.8588
Tb  0.2927  0.5855  0.5692
Tb  0.7073  0.4145  0.4308
Tb  0.2919  0.5839  0.1412
I  0.0283  0.0565  0.2990
I  0.1020  0.2041  0.8918
I  0.8980  0.7959  0.1082
I  0.9717  0.9435  0.7010

Output
Distance to the lowest polymorph of the same formula: 0.127 eV/atom
Formation energy from raw total energies: -388.5 meV per atom
Space-group type: C2/m
Electronic total energy: -47.792 eV per cell

***

[3]
A plane-wave DFT calculation with GGA-PBE was carried out for an optimized crystal structure of TbDy2I.

Lattice parameters (Å, degrees): 3.6376 3.6376 9.4967 90.00 90.00 90.00
Atoms (fractional coordinates):
I  0.5000  0.5000  0.0000
Tb  0.5000  0.5000  0.5000
Dy  0.0000  0.0000  0.7554
Dy  0.0000  0.0000  0.2446

Output
Distance to the lowest polymorph of the same formula: 0.056 eV/atom
Formation energy from raw total energies: -279.3 meV per atom
Space-group type: P4/mmm
Electronic total energy: -16.502 eV per cell

***

[4]
A plane-wave DFT calculation with GGA-PBE was carried out for an optimized crystal structure of TbDy2I.

Lattice parameters (Å, degrees): 3.7593 3.7593 10.6501 79.83 79.83 60.00
Atoms (fractional coordinates):
Tb  0.4997  0.4997  0.5008
Dy  0.0791  0.0791  0.7628
Dy  0.2546  0.2546  0.2363
I  0.6666  0.6666  0.0001

Output
Distance to the lowest polymorph of the same formula: 0.000 eV/atom
Formation energy from raw total energies: -335.2 meV per atom
Space-group type: R3m
Electronic total energy: -16.725 eV per cell

***

[5]
A plane-wave DFT calculation with GGA-PBE was carried out for an optimized crystal structure of TbDyTeI.

Lattice parameters (Å, degrees): 5.3464 5.3464 5.3464 60.00 60.00 60.00
Atoms (fractional coordinates):
I  0.5000  0.5000  0.5000
Te  0.0000  0.0000  0.0000
Tb  0.7500  0.7500  0.7500
Dy  0.2500  0.2500  0.2500

Output
Formation energy from raw total energies: -951.0 meV per atom
Space-group type: F-43m
Electronic total energy: -17.728 eV per cell

***

[6]
A plane-wave DFT calculation with GGA-PBE was carried out for an optimized crystal structure of Dy3TcI3.

Lattice parameters (Å, degrees): 7.1832 7.1832 12.1943 72.87 72.87 60.00
Atoms (fractional coordinates):
Dy  0.9535  0.3278  0.1405
Dy  0.5782  0.9535  0.1405
Dy  0.3278  0.5782  0.1405
Dy  0.6722  0.4218  0.8595
Dy  0.4218  0.0465  0.8595
Dy  0.0465  0.6722  0.8595
Tc  0.6667  0.6667  0.0000
Tc  0.3333  0.3333  0.0000
I  0.2097  0.8928  0.3212
I  0.5763  0.2097  0.3211
I  0.8928  0.5763  0.3212
I  0.1072  0.4237  0.6788
I  0.4237  0.7903  0.6789
I  0.7903  0.1072  0.6788

Output
Formation energy from raw total energies: -675.6 meV per atom
Space-group type: R-3
Electronic total energy: -67.104 eV per cell

***

[7]
A plane-wave DFT calculation with GGA-PBE was carried out for an optimized crystal structure of DyTeI.

Lattice parameters (Å, degrees): 4.2404 9.5039 7.5789 85.94 73.75 77.11
Atoms (fractional coordinates):
Dy  0.1280  0.1761  0.5680
Dy  0.8720  0.8239  0.4320
Te  0.1997  0.8803  0.7203
Te  0.8003  0.1197  0.2797
I  0.4379  0.3534  0.7708
I  0.5621  0.6466  0.2292

Output
Distance to the lowest polymorph of the same formula: 0.139 eV/atom
Formation energy from raw total energies: -1269.2 meV per atom
Space-group type: C2/m
Electronic total energy: -26.203 eV per cell

***

[8]
A plane-wave DFT calculation with GGA-PBE was carried out for an optimized crystal structure of Dy2Te2I.

Lattice parameters (Å, degrees): 4.3268 6.0229 7.5585 113.48 106.63 90.00
Atoms (fractional coordinates):
Dy  0.6819  0.1819  0.3637
Dy  0.3181  0.8181  0.6363
Te  0.3436  0.3436  0.6872
Te  0.6564  0.6564  0.3128
I  0.0000  0.0000  0.0000

Output
Formation energy from raw total energies: -1287.5 meV per atom
Space-group type: Immm
Electronic total energy: -23.475 eV per cell

***

[9]
A plane-wave DFT calculation with GGA-PBE was carried out for an optimized crystal structure of Dy6Te8I.

Lattice parameters (Å, degrees): 4.4403 11.8828 11.8828 120.00 90.00 90.00
Atoms (fractional coordinates):
Dy  0.7497  0.5210  0.6580
Dy  0.7497  0.3420  0.8629
Dy  0.7497  0.1371  0.4790
Dy  0.2503  0.4790  0.3420
Dy  0.2503  0.6580  0.1371
Dy  0.2503  0.8629  0.5210
Te  0.7515  0.6362  0.9526
Te  0.7515  0.0474  0.6836
Te  0.7515  0.3164  0.3638
Te  0.2485  0.3638  0.0474
Te  0.2485  0.9526  0.3164
Te  0.2485  0.6836  0.6362
Te  0.7501  0.6667  0.3333
Te  0.2499  0.3333  0.6667
I  0.5000  0.0000  0.0000

Output
Formation energy from raw total energies: -1261.4 meV per atom
Space-group type: P-3
Electronic total energy: -73.218 eV per cell

***

[10]
A plane-wave DFT calculation with GGA-PBE was carried out for an optimized crystal structure of DyTeI.

Lattice parameters (Å, degrees): 4.3469 6.1242 9.5850 90.00 90.45 90.00
Atoms (fractional coordinates):
Dy  0.2513  0.2500  0.1238
Dy  0.7487  0.7500  0.8762
Te  0.7475  0.2500  0.8949
Te  0.2525  0.7500  0.1051
I  0.7552  0.2500  0.3474
I  0.2448  0.7500  0.6526

Output
Distance to the lowest polymorph of the same formula: 0.000 eV/atom
Formation energy from raw total energies: -1408.1 meV per atom
Space-group type: P2_1/m
Electronic total energy: -27.036 eV per cell

***

[11]
A plane-wave DFT calculation with GGA-PBE was carried out for an optimized crystal structure of Dy2TeI.

Lattice parameters (Å, degrees): 4.0924 4.0924 8.7415 76.46 76.46 60.00
Atoms (fractional coordinates):
I  0.5000  0.5000  0.5000
Te  0.0000  0.0000  0.0000
Dy  0.2618  0.2618  0.2145
Dy  0.7382  0.7382  0.7855

Output
Distance to the lowest polymorph of the same formula: 0.063 eV/atom
Formation energy from raw total energies: -888.7 meV per atom
Space-group type: R-3m
Electronic total energy: -17.451 eV per cell

***

[12]
A plane-wave DFT calculation with GGA-PBE was carried out for an optimized crystal structure of Dy2TeI.

Lattice parameters (Å, degrees): 5.3370 5.3370 5.3370 60.00 60.00 60.00
Atoms (fractional coordinates):
I  0.0000  0.0000  0.0000
Te  0.5000  0.5000  0.5000
Dy  0.2500  0.2500  0.2500
Dy  0.7500  0.7500  0.7500

Output
Distance to the lowest polymorph of the same formula: 0.018 eV/atom
Formation energy from raw total energies: -933.8 meV per atom
Space-group type: Fm-3m
Electronic total energy: -17.631 eV per cell